A geometry-optimized Ca2AcCe3As6 structure, computed with GGA-PBE.

Geometry as POSCAR:
```
Ca2AcCe3As6
1.0
3.722 -6.447 0.000
3.722 6.447 0.000
-2.485 0.000 7.023
Ca Ac Ce As
2 1 3 6
Direct
0.167 0.833 0.000
0.833 0.167 0.000
0.500 0.500 0.000
0.000 0.000 0.500
0.334 0.666 0.500
0.666 0.334 0.500
0.073 0.411 0.732
0.251 0.251 0.267
0.411 0.073 0.732
0.589 0.927 0.268
0.749 0.749 0.733
0.927 0.589 0.268
```

Output
* energy of formation: -129.58 kJ per mole of atoms
* D(E_F): 9.55 states/eV/f.u.
* VASP energy: -5.827 eV/atom
* ρ: 5.80 Mg/m³